A plane-wave DFT calculation with PBE with a Hubbard U was carried out for a relaxed KMnIO6 crystal.

Cell: 5.1252 5.1252 6.0951 Å, 90.00 90.00 120.00°
Each line ends with the local moment (μB).
Atoms (fractional coordinates):
K (0.0000, 0.0000, 0.0000)  0.00
O (0.6164, 0.6212, 0.3227)  -0.05
O (0.0047, 0.6212, 0.6773)  -0.04
O (0.6164, 0.9953, 0.6773)  -0.05
O (0.3788, 0.9953, 0.3227)  -0.04
O (0.3788, 0.3836, 0.6773)  -0.04
O (0.0047, 0.3836, 0.3227)  -0.04
Mn (0.6667, 0.3333, 0.5000)  3.18
I (0.3333, 0.6667, 0.5000)  0.03

Output
total magnetization: 3.00 μB/f.u.
electronic total energy: -48.75 eV/cell
crystal system: trigonal
SG: No. 149